VASP calculation (PBE) on a relaxed structure of KLaNi2Bi.

Summary:
Theoretical density = 6.45 g/cm3
Uncorrected energy = -15.548 eV for the cell shown
Energy of formation = 1.184 eV/atom
Crystal system = tetragonal
Volume = 25.97 A^3/atom
Spin magnetization = 0.000 μB/cell

Cell: 4.7879 5.6635 4.7879 Å, 90.00 90.00 90.00°
Last column: nearest neighbours and their distance in Å.
Element x y z (fractional)
1 Bi 0.5000 0.5000 0.5000  4 La 3.39, 8 Ni 3.71
2 K 0.0000 0.0000 0.0000  4 Ni 2.39
3 La 0.0000 0.5000 0.0000  2 K 2.83
4 Ni 0.5000 0.0000 0.0000  2 K 2.39
5 Ni 0.0000 0.0000 0.5000  2 K 2.39